Below is crystalline Pm4PrIn at its relaxed geometry, with properties calculated at the PBE-GGA level.

Output
E above lowest polymorph = 0.00 kcal/mol of atoms
Crystal system = monoclinic
Total moment = 0.0000 μB/atom

Cell lengths 5.667, 7.046, 9.842 Å; angles 90.00, 90.00, 90.00 degrees
Element x y z (fractional)
Pm (0.249, 0.005, 0.240)
Pm (0.249, 0.495, 0.240)
Pm (0.250, 0.750, 0.920)
Pm (0.251, 0.250, 0.609)
Pm (0.749, 0.750, 0.391)
Pm (0.750, 0.250, 0.080)
Pm (0.751, 0.505, 0.760)
Pm (0.751, 0.995, 0.760)
Pr (0.249, 0.750, 0.572)
Pr (0.751, 0.250, 0.428)
In (0.250, 0.250, 0.930)
In (0.750, 0.750, 0.070)

---

Below is crystalline Li2BeZnAu6 at its relaxed geometry, with properties calculated at the PBE-GGA level.

Output
Crystal system = triclinic
Total moment = 0.0000 μB/atom

Cell lengths 5.514, 5.607, 8.322 Å; angles 71.55, 70.75, 60.60 degrees
Element x y z (fractional)
Li (0.201, 0.197, 0.401)
Li (0.799, 0.803, 0.599)
Be (0.500, 0.500, 0.500)
Zn (0.000, 0.000, 0.000)
Au (0.240, 0.737, 0.279)
Au (0.257, 0.263, 0.721)
Au (0.258, 0.770, 0.716)
Au (0.742, 0.230, 0.284)
Au (0.743, 0.737, 0.279)
Au (0.760, 0.263, 0.721)

---

Short version: formation enthalpy at 0 K = -0.133 -0.207 eV per atom, in the order given.